# NiP2Br

A crystal of NiP2Br relaxed with PBEsol (SCAN, Alexandria).

extended XYZ file:
```
8
Lattice="4.708 0.000 0.000 0.000 7.326 0.000 0.000 0.000 3.708" Properties=species:S:1:pos:R:3 pbc="T T T"
Ni 0.000 0.000 0.000
Ni 2.354 3.663 0.000
P 0.000 1.306 1.854
P 0.000 6.020 1.854
P 2.354 2.357 1.854
P 2.354 4.969 1.854
Br 0.000 3.663 0.000
Br 2.354 0.000 0.000
```

DFT total energy in Ry/atom: -1.03242
Fermi-level density of states in states/eV per cell: 1.87
Symmetry: Cmmm
Relative energy among the computed polymorphs in eV per atom: 0.1125

---

# NiP2Br

A crystal of NiP2Br relaxed with PBEsol (SCAN, Alexandria).

extended XYZ file:
```
8
Lattice="6.600 0.000 0.000 0.000 3.317 0.000 -3.248 0.000 6.262" Properties=species:S:1:pos:R:3 pbc="T T T"
Ni 0.000 0.000 0.000
Ni 3.300 1.658 0.000
P -1.970 1.658 5.362
P 2.022 0.000 0.900
P 1.330 0.000 5.362
P 5.322 1.658 0.900
Br -1.624 0.000 3.131
Br 1.676 1.658 3.131
```

DFT total energy in Ry/atom: -1.04069
Fermi-level density of states in states/eV per cell: 3.16
Symmetry: C2/m
Relative energy among the computed polymorphs in eV per atom: 0.0000

---

# NiPBr

A crystal of NiPBr relaxed with PBEsol (SCAN, Alexandria).

extended XYZ file:
```
12
Lattice="6.037 0.000 0.000 0.000 6.037 0.000 0.000 0.000 6.037" Properties=species:S:1:pos:R:3 pbc="T T T"
Ni 0.000 0.000 0.000
Ni 0.000 3.018 3.018
Ni 3.018 0.000 3.018
Ni 3.018 3.018 0.000
P 0.000 0.000 3.018
P 0.000 3.018 0.000
P 3.018 0.000 0.000
P 3.018 3.018 3.018
Br 1.509 1.509 1.509
Br 1.509 4.528 4.528
Br 4.528 1.509 4.528
Br 4.528 4.528 1.509
```

DFT total energy in Ry/atom: -1.02441
Fermi-level density of states in states/eV per cell: 10.07
Symmetry: F-43m
Relative energy among the computed polymorphs in eV per atom: 1.3972

---

# NiP2Br

A crystal of NiP2Br relaxed with PBEsol (SCAN, Alexandria).

extended XYZ file:
```
12
Lattice="3.556 0.000 0.000 -1.778 3.080 0.000 0.000 0.000 18.595" Properties=species:S:1:pos:R:3 pbc="T T T"
Ni 0.000 0.000 0.000
Ni 0.000 2.053 12.397
Ni 1.778 1.027 6.198
P 0.000 0.000 5.305
P 0.000 0.000 13.290
P 0.000 2.053 7.092
P 0.000 2.053 17.702
P 1.778 1.027 0.893
P 1.778 1.027 11.504
Br 0.000 0.000 9.298
Br 0.000 2.053 3.099
Br 1.778 1.027 15.496
```

DFT total energy in Ry/atom: -1.03675
Fermi-level density of states in states/eV per cell: 6.55
Symmetry: R-3m
Relative energy among the computed polymorphs in eV per atom: 0.0536

---

# NiPBr2

A crystal of NiPBr2 relaxed with PBEsol (SCAN, Alexandria).

extended XYZ file:
```
16
Lattice="6.819 0.000 0.000 0.000 6.819 0.000 0.000 0.000 6.544" Properties=species:S:1:pos:R:3 pbc="T T T"
Ni 0.000 0.000 0.000
Ni 0.000 3.409 1.636
Ni 3.409 0.000 4.908
Ni 3.409 3.409 3.272
P 0.000 0.000 3.272
P 0.000 3.409 4.908
P 3.409 0.000 1.636
P 3.409 3.409 0.000
Br 1.440 1.705 0.818
Br 1.705 4.850 2.454
Br 1.705 5.378 5.726
Br 1.969 1.705 4.090
Br 4.850 5.114 4.090
Br 5.114 1.440 5.726
Br 5.114 1.969 2.454
Br 5.378 5.114 0.818
```

DFT total energy in Ry/atom: -1.15916
Fermi-level density of states in states/eV per cell: 6.77
Symmetry: I-42d

---

# NiPBr

A crystal of NiPBr relaxed with PBEsol (SCAN, Alexandria).

extended XYZ file:
```
12
Lattice="5.891 0.000 0.000 0.000 5.891 0.000 0.000 0.000 5.891" Properties=species:S:1:pos:R:3 pbc="T T T"
Ni 0.000 0.000 0.000
Ni 0.000 2.946 2.946
Ni 2.946 0.000 2.946
Ni 2.946 2.946 0.000
P 1.473 1.473 4.419
P 1.473 4.419 1.473
P 4.419 1.473 1.473
P 4.419 4.419 4.419
Br 1.473 1.473 1.473
Br 1.473 4.419 4.419
Br 4.419 1.473 4.419
Br 4.419 4.419 1.473
```

DFT total energy in Ry/atom: -1.08109
Fermi-level density of states in states/eV per cell: 8.67
Symmetry: F-43m
Relative energy among the computed polymorphs in eV per atom: 0.6260

---

# NiPBr

A crystal of NiPBr relaxed with PBEsol (SCAN, Alexandria).

extended XYZ file:
```
6
Lattice="3.149 0.000 0.000 0.000 3.149 0.000 0.000 0.000 10.573" Properties=species:S:1:pos:R:3 pbc="T T T"
Ni 0.000 0.000 0.000
Ni 1.574 1.574 5.286
P 0.000 0.000 4.771
P 1.574 1.574 10.057
Br 0.000 0.000 2.458
Br 1.574 1.574 7.745
```

DFT total energy in Ry/atom: -1.12710
Fermi-level density of states in states/eV per cell: 1.63
Symmetry: I4mm
Relative energy among the computed polymorphs in eV per atom: 0.0000

---

# NiPPbBr2

A crystal of NiPPbBr2 relaxed with PBEsol (SCAN, Alexandria).

extended XYZ file:
```
5
Lattice="4.603 0.000 0.000 0.000 4.603 0.000 0.000 0.000 5.494" Properties=species:S:1:pos:R:3 pbc="T T T"
Ni 0.000 0.000 0.000
P 2.302 2.302 2.747
Pb 0.000 0.000 2.747
Br 0.000 2.302 0.000
Br 2.302 0.000 0.000
```

DFT total energy in Ry/atom: -2.05006
Fermi-level density of states in states/eV per cell: 4.35
Symmetry: P4/mmm